This record from Alexandria describes VCd2B2O6 after structural relaxation. The functional is GGA+U.

E ... -71.95 eV per cell

Lattice parameters (Å, degrees): 4.9855 4.9855 6.7738 90.00 90.00 120.00
Sites, in units of the cell vectors:
V 0.0000 0.0000 0.0000
Cd 0.3333 0.6667 0.3281
Cd 0.6667 0.3333 0.6719
B 0.3333 0.6667 0.8245
B 0.6667 0.3333 0.1755
O 0.0848 0.7180 0.8206
O 0.2820 0.3668 0.8206
O 0.3668 0.0848 0.1794
O 0.6332 0.9152 0.8206
O 0.7180 0.6332 0.1794
O 0.9152 0.2820 0.1794